1.
Entry from Alexandria via LeMat-Bulk: a geometry-optimized CaReAu2 structure (PBE).

a b c (Å): 4.807 4.807 4.807
angles (deg): 60.00 60.00 60.00
Sites, in units of the cell vectors:
1 Ca 0.000 0.000 0.000
2 Re 0.500 0.500 0.500
3 Au 0.250 0.250 0.250
4 Au 0.750 0.750 0.750

For the total magnetic moment, the calculation gives 0.6009 μB/atom. As for the relative energy among the computed polymorphs: 0.67 eV/f.u. As for the energy relative to the elements: 0.33 eV per atom.



2.
Entry from Alexandria via LeMat-Bulk: a geometry-optimized Ca2ReAu structure (PBE).

a b c (Å): 2.966 5.380 5.473
angles (deg): 90.00 90.00 90.00
Sites, in units of the cell vectors:
1 Ca 0.000 0.000 0.000
2 Ca 0.000 0.500 0.425
3 Re 0.500 0.500 0.920
4 Au 0.500 0.000 0.513

For the total magnetic moment, the calculation gives 0.0000 μB/atom. As for the relative energy among the computed polymorphs: 0.22 eV/f.u. As for the energy relative to the elements: 0.29 eV per atom.



3.
Entry from Alexandria via LeMat-Bulk: a geometry-optimized CaReAu2 structure (PBE).

a b c (Å): 2.801 4.613 5.913
angles (deg): 90.00 90.00 90.00
Sites, in units of the cell vectors:
1 Ca 0.000 0.000 0.000
2 Re 0.500 0.500 0.315
3 Au 0.000 0.000 0.476
4 Au 0.500 0.500 0.782

For the total magnetic moment, the calculation gives 0.1071 μB/atom. As for the relative energy among the computed polymorphs: 0.63 eV/f.u. As for the energy relative to the elements: 0.33 eV per atom.



4.
Entry from Alexandria via LeMat-Bulk: a geometry-optimized CaReAu2 structure (PBE).

a b c (Å): 5.890 5.890 5.890
angles (deg): 150.24 130.42 58.91
Sites, in units of the cell vectors:
1 Ca 0.000 0.000 0.000
2 Re 0.269 0.769 0.500
3 Au 0.493 0.493 0.000
4 Au 0.734 0.234 0.500

For the total magnetic moment, the calculation gives 0.1233 μB/atom. As for the relative energy among the computed polymorphs: 0.55 eV/f.u. As for the energy relative to the elements: 0.31 eV per atom.



5.
Entry from Alexandria via LeMat-Bulk: a geometry-optimized CaReAu2 structure (PBE).

a b c (Å): 9.147 9.147 9.147
angles (deg): 148.75 148.75 44.78
Sites, in units of the cell vectors:
1 Ca 0.000 0.000 0.000
2 Ca 0.750 0.250 0.500
3 Re 0.250 0.750 0.500
4 Re 0.500 0.500 0.000
5 Au 0.213 0.625 0.088
6 Au 0.375 0.463 0.588
7 Au 0.537 0.125 0.912
8 Au 0.875 0.787 0.412

For the total magnetic moment, the calculation gives 0.2855 μB/atom. As for the relative energy among the computed polymorphs: 1.88 eV/f.u. As for the energy relative to the elements: 0.64 eV per atom.



6.
Entry from Alexandria via LeMat-Bulk: a geometry-optimized CaReAu2 structure (PBE).

a b c (Å): 4.913 4.913 5.980
angles (deg): 96.83 96.83 32.94
Sites, in units of the cell vectors:
1 Ca 0.000 0.000 0.000
2 Re 0.500 0.500 0.500
3 Au 0.242 0.242 0.713
4 Au 0.758 0.758 0.287

For the total magnetic moment, the calculation gives 0.0001 μB/atom. As for the relative energy among the computed polymorphs: 0.59 eV/f.u. As for the energy relative to the elements: 0.31 eV per atom.



7.
Entry from Alexandria via LeMat-Bulk: a geometry-optimized Ca2ReAu structure (PBE).

a b c (Å): 5.287 5.287 5.287
angles (deg): 128.53 128.53 75.77
Sites, in units of the cell vectors:
1 Ca 0.250 0.750 0.500
2 Ca 0.750 0.250 0.500
3 Re 0.000 0.000 0.000
4 Au 0.500 0.500 0.000

For the total magnetic moment, the calculation gives 0.3230 μB/atom. As for the relative energy among the computed polymorphs: 0.74 eV/f.u. As for the energy relative to the elements: 0.42 eV per atom.



8.
Entry from Alexandria via LeMat-Bulk: a geometry-optimized CaReAu2 structure (PBE).

a b c (Å): 2.871 2.871 9.072
angles (deg): 90.00 90.00 90.00
Sites, in units of the cell vectors:
1 Ca 0.000 0.000 0.000
2 Re 0.500 0.500 0.265
3 Au 0.000 0.000 0.486
4 Au 0.500 0.500 0.739

For the total magnetic moment, the calculation gives 0.0001 μB/atom. As for the relative energy among the computed polymorphs: 0.49 eV/f.u. As for the energy relative to the elements: 0.29 eV per atom.



What did the seventh record say?
Entry from Alexandria via LeMat-Bulk: a geometry-optimized Ca2ReAu structure (PBE).

a b c (Å): 5.287 5.287 5.287
angles (deg): 128.53 128.53 75.77
Sites, in units of the cell vectors:
1 Ca 0.250 0.750 0.500
2 Ca 0.750 0.250 0.500
3 Re 0.000 0.000 0.000
4 Au 0.500 0.500 0.000

For the total magnetic moment, the calculation gives 0.3230 μB/atom. As for the relative energy among the computed polymorphs: 0.74 eV/f.u. As for the energy relative to the elements: 0.42 eV per atom.



Number 1 is which compound? CaReAu2



The highest relative energy among the computed polymorphs belongs to which entry? number 5



The lowest total magnetic moment belongs to which entry? number 2